Record 1
## Sr4FeW2 (PBE-GGA)

Data for a relaxed structure of Sr4FeW2. Values from VASP.

Structure (Quantum ESPRESSO input):
```
&SYSTEM
  ibrav = 0, nat = 7, ntyp = 3
/
ATOMIC_SPECIES
W 183.84 W.upf
Sr 87.62 Sr.upf
Fe 55.84 Fe.upf
ATOMIC_POSITIONS angstrom
W -5.1880 -8.9806 3.1122
W -3.1567 -2.5241 2.0134
Sr -2.9434 -0.6807 -0.6951
Sr -0.5036 -0.8289 2.9444
Sr -2.2493 -5.6948 1.2760
Sr -6.0954 -5.8100 3.8496
Fe 0.0000 0.0000 0.0000
CELL_PARAMETERS angstrom
-1.0072 -1.6579 5.8888
-5.8869 -1.3614 -1.3901
-1.4507 -8.4854 0.6269
```

Output
ΔE_f (meV/atom): 1286.7
Electronic total energy (eV/atom): -4.584


Record 2
## YPtW2Se (PBE-GGA)

Data for a relaxed structure of YPtW2Se. Values from VASP.

Structure (Quantum ESPRESSO input):
```
&SYSTEM
  ibrav = 0, nat = 5, ntyp = 4
/
ATOMIC_SPECIES
W 183.84 W.upf
Y 88.91 Y.upf
Pt 195.08 Pt.upf
Se 78.96 Se.upf
ATOMIC_POSITIONS angstrom
W 0.0000 0.0000 2.3340
W 2.3340 0.0000 0.0000
Y 2.3340 2.4022 2.3340
Pt 0.0000 2.4022 0.0000
Se 0.0000 0.0000 0.0000
CELL_PARAMETERS angstrom
4.6680 0.0000 0.0000
0.0000 4.8043 0.0000
0.0000 0.0000 4.6680
```

Output
Electronic total energy (eV/atom): -7.630


Record 3
## SrCuIr2 (PBE-GGA)

Data for a relaxed structure of SrCuIr2. Values from VASP.

Structure (Quantum ESPRESSO input):
```
&SYSTEM
  ibrav = 0, nat = 4, ntyp = 3
/
ATOMIC_SPECIES
Cu 63.55 Cu.upf
Ir 192.22 Ir.upf
Sr 87.62 Sr.upf
ATOMIC_POSITIONS angstrom
Cu -3.0061 -0.4998 0.2774
Ir -8.6532 -3.5506 -2.3066
Ir -5.9936 -1.1907 0.2676
Sr -9.0182 -1.4993 0.8323
CELL_PARAMETERS angstrom
-4.5853 -0.7007 -2.0928
-4.0494 -3.0410 -0.5011
-3.3895 1.7427 3.7037
```

Output
ΔE_f (meV/atom): 259.9
Electronic total energy (eV/atom): -5.615


Record 4
## Tb2NdI6 (PBE-GGA)

Data for a relaxed structure of Tb2NdI6. Values from VASP.

Structure (Quantum ESPRESSO input):
```
&SYSTEM
  ibrav = 0, nat = 9, ntyp = 3
/
ATOMIC_SPECIES
I 126.90 I.upf
Tb 158.93 Tb.upf
Nd 144.24 Nd.upf
ATOMIC_POSITIONS angstrom
I 2.0930 2.0644 5.2219
I 2.0930 7.5353 -0.9698
I 0.0000 -0.2387 8.9985
I 0.0000 5.2321 2.8067
I 2.0930 3.0911 -0.1432
I 0.0000 4.2055 8.1718
Tb 2.0929 1.8809 8.2318
Tb -0.0002 5.4157 -0.2032
Nd 4.1859 -0.3054 5.7634
CELL_PARAMETERS angstrom
4.1860 0.0000 0.0000
-2.0930 7.9072 -3.4980
0.0000 -0.6108 11.5267
```

Output
Electronic total energy (eV/atom): -3.850


M_tot for every record listed, in sequence, given in μB/cell: 2.33, 0.00, 0.00, 0.00.